# 1
This record from Alexandria via LeMat-Bulk describes a geometry-optimized Na2NdCoH8 structure. The functional is GGA-PBE. Values from VASP.

Structure (Quantum ESPRESSO input):
```
&SYSTEM
  ibrav = 0, nat = 12, ntyp = 4
/
ATOMIC_SPECIES
Na 22.99 Na.upf
Nd 144.24 Nd.upf
Co 58.93 Co.upf
H 1.01 H.upf
CELL_PARAMETERS angstrom
4.702 0.000 0.000
-2.351 4.072 0.000
0.000 0.000 6.069
ATOMIC_POSITIONS crystal
Na 0.333 0.667 0.373
Na 0.667 0.333 0.627
Nd 0.000 0.000 0.000
Co 0.000 0.000 0.500
H 0.150 0.300 0.655
H 0.150 0.850 0.655
H 0.300 0.150 0.345
H 0.333 0.667 0.008
H 0.667 0.333 0.992
H 0.700 0.850 0.655
H 0.850 0.150 0.345
H 0.850 0.700 0.345
```

Summary:
The value obtained for the calculated volume is 116 Å³ per cell. The calculation puts the total energy at -3.73 eV per atom. Its space group is P-3m1, No. 164.


# 2
This record from Alexandria via LeMat-Bulk describes a geometry-optimized Ba2SnN structure. The functional is GGA-PBE. Values from VASP.

Structure (Quantum ESPRESSO input):
```
&SYSTEM
  ibrav = 0, nat = 8, ntyp = 3
/
ATOMIC_SPECIES
Ba 137.33 Ba.upf
Sn 118.71 Sn.upf
N 14.01 N.upf
CELL_PARAMETERS angstrom
-3.989 3.989 4.506
3.989 -3.989 4.506
3.989 3.989 -4.506
ATOMIC_POSITIONS crystal
Ba 0.025 0.125 0.400
Ba 0.375 0.975 0.100
Ba 0.725 0.625 0.600
Ba 0.875 0.275 0.900
Sn 0.250 0.750 0.500
Sn 0.500 0.500 0.000
N 0.000 0.000 0.000
N 0.750 0.250 0.500
```

Summary:
The value obtained for the calculated volume is 287 Å³ per cell. The calculation puts the total energy at -4.17 eV per atom. The calculation puts the uncorrected formation energy at -0.13 eV/atom. Its space group is I-42d, No. 122. Its density of states at the Fermi level is 1.538 states/eV/atom.


# 3
This record from Alexandria via LeMat-Bulk describes a geometry-optimized Zr2CrH6 structure. The functional is GGA-PBE. Values from VASP.

Structure (Quantum ESPRESSO input):
```
&SYSTEM
  ibrav = 0, nat = 9, ntyp = 3
/
ATOMIC_SPECIES
Zr 91.22 Zr.upf
Cr 52.00 Cr.upf
H 1.01 H.upf
CELL_PARAMETERS angstrom
5.242 -2.298 0.000
5.242 2.298 0.000
-1.038 0.000 3.140
ATOMIC_POSITIONS crystal
Zr 0.164 0.164 0.164
Zr 0.836 0.836 0.836
Cr 0.500 0.500 0.500
H 0.105 0.575 0.340
H 0.277 0.723 0.000
H 0.425 0.895 0.660
H 0.575 0.105 0.340
H 0.723 0.277 0.000
H 0.895 0.425 0.660
```

Summary:
The value obtained for the calculated volume is 76 Å³ per cell. The calculation puts the total energy at -5.54 eV per atom. Its space group is C2/m, No. 12. Its density of states at the Fermi level is 0.316 states/eV/atom.


Question: What is the calculated volume in the first record?
Answer: 116 Å³ per cell


Question: What is the calculated volume in the second record?
Answer: 287 Å³ per cell